# LaPrMnCd

Crystalline LaPrMnCd at its relaxed geometry (PBE, Alexandria via LeMat-Bulk).

```
data_LaPrMnCd
_chemical_formula_sum 'La4 Pr4 Mn4 Cd4'
_space_group_name_H-M_alt 'F -4 3 m'
_space_group_IT_number 216
_space_group_name_Hall 'F -4 2 3'
_cell_length_a 7.650
_cell_length_b 7.650
_cell_length_c 7.650
_cell_angle_alpha 90.00
_cell_angle_beta 90.00
_cell_angle_gamma 90.00
loop_
_atom_site_label
_atom_site_type_symbol
_atom_site_fract_x
_atom_site_fract_y
_atom_site_fract_z
_atom_site_occupancy
La1 La 0.000 0.000 0.000 1
Pr1 Pr 0.000 0.000 0.500 1
Mn1 Mn 0.250 0.250 0.750 1
Cd1 Cd 0.250 0.250 0.250 1
```

Computed properties:
Electronic total energy   -4.93 eV/atom
Energy relative to the elements   0.019 eV per atom